Computed, not measured: crystalline Ti3Mn2NiP6O24 at its relaxed geometry at the PBE+U level of DFT.

Computed properties:
raw total energy = -7.709 eV per atom
ρ = 3.21 g/cm³
crystal system = trigonal

Cell: 8.6329 8.6329 8.6329 Å, 60.08 60.08 60.08°
With the nearest neighbours (Å) after each atom.
Sites, in units of the cell vectors:
Ti1 0.0000 0.0000 0.0000  6 O 1.88-2.03
Ti2 0.2101 0.2101 0.2101  6 O 1.90-2.05
Ti3 0.7067 0.7067 0.7067  3 O 1.87
Mn1 0.3569 0.3569 0.3569  6 O 2.19-2.28
Mn2 0.8552 0.8552 0.8552  6 O 2.25-2.29
Ni1 0.4965 0.4965 0.4965  6 O 1.99-2.13
P1 0.1014 0.8128 0.3983  4 O 1.52-1.56
P2 0.3090 0.6012 0.8949  4 O 1.49-1.57
P3 0.3983 0.1014 0.8128  4 O 1.52-1.56
P4 0.6012 0.8949 0.3090  4 O 1.49-1.57
P5 0.8128 0.3983 0.1014  4 O 1.52-1.56
P6 0.8949 0.3090 0.6012  4 O 1.49-1.57
O1 0.0248 0.8716 0.2416  1 P 1.55
O2 0.0898 0.3023 0.4358  1 P 1.57
O3 0.1141 0.7641 0.9306  1 P 1.57
O4 0.1620 0.9766 0.3542  1 P 1.56
O5 0.2416 0.0248 0.8716  1 P 1.55
O6 0.2623 0.6239 0.3999  1 P 1.52
O7 0.3023 0.4358 0.0898  1 P 1.57
O8 0.3344 0.5511 0.7394  1 P 1.49
O9 0.3542 0.1620 0.9766  1 P 1.56
O10 0.3999 0.2623 0.6239  1 P 1.52
O11 0.4358 0.0898 0.3023  1 P 1.57
O12 0.4747 0.6626 0.8492  1 P 1.57
O13 0.5511 0.7394 0.3344  1 P 1.49
O14 0.5924 0.9382 0.7980  1 P 1.56
O15 0.6239 0.3999 0.2623  1 P 1.52
O16 0.6626 0.8492 0.4747  1 P 1.57
O17 0.7394 0.3344 0.5511  1 P 1.49
O18 0.7641 0.9306 0.1141  1 P 1.57
O19 0.7980 0.5924 0.9382  1 P 1.56
O20 0.8492 0.4747 0.6626  1 P 1.57
O21 0.8716 0.2416 0.0248  1 P 1.55
O22 0.9306 0.1141 0.7641  1 P 1.57
O23 0.9382 0.7980 0.5924  1 P 1.56
O24 0.9766 0.3542 0.1620  1 P 1.56